Entry 1:
ScTcCl | GGA-PBE | relaxed

```
data_ScTcCl
_chemical_formula_sum 'Sc4 Tc4 Cl4'
_space_group_name_H-M_alt 'F m m 2'
_space_group_IT_number 42
_space_group_name_Hall 'F 2 -2'
_cell_length_a 3.3995
_cell_length_b 4.9270
_cell_length_c 14.5006
_cell_angle_alpha 90.00
_cell_angle_beta 90.00
_cell_angle_gamma 90.00
loop_
_atom_site_label
_atom_site_type_symbol
_atom_site_fract_x
_atom_site_fract_y
_atom_site_fract_z
Sc1 Sc 0.0000 0.0000 0.0000
Tc1 Tc 0.0000 0.0000 0.6393
Cl1 Cl 0.0000 0.0000 0.3720
```

Computed properties:
DOS at the Fermi energy (states/eV per cell): 13.2
Energy relative to the elements, uncorrected (meV per atom): -203
V (Å³/cell): 242.88
Polymorph energy (0 for the lowest one) (meV per atom): 91

Entry 2:
ScTc2Cl | GGA-PBE | relaxed

```
data_ScTc2Cl
_chemical_formula_sum 'Sc1 Tc2 Cl1'
_space_group_name_H-M_alt 'P 4/m m m'
_space_group_IT_number 123
_space_group_name_Hall '-P 4 2'
_cell_length_a 3.5376
_cell_length_b 3.5376
_cell_length_c 5.5837
_cell_angle_alpha 90.00
_cell_angle_beta 90.00
_cell_angle_gamma 90.00
loop_
_atom_site_label
_atom_site_type_symbol
_atom_site_fract_x
_atom_site_fract_y
_atom_site_fract_z
Sc1 Sc 0.0000 0.0000 0.0000
Tc1 Tc 0.0000 0.5000 0.5000
Cl1 Cl 0.5000 0.5000 0.0000
```

Computed properties:
DOS at the Fermi energy (states/eV per cell): 4.8
Energy relative to the elements, uncorrected (meV per atom): 91
V (Å³/cell): 69.88
Polymorph energy (0 for the lowest one) (meV per atom): 446

Entry 3:
Sc2TcCl | GGA-PBE | relaxed

```
data_Sc2TcCl
_chemical_formula_sum 'Sc2 Tc1 Cl1'
_space_group_name_H-M_alt 'P 4 m m'
_space_group_IT_number 99
_cell_length_a 3.8212
_cell_length_b 3.8212
_cell_length_c 5.4447
_cell_angle_alpha 90.00
_cell_angle_beta 90.00
_cell_angle_gamma 90.00
loop_
_space_group_symop_operation_xyz
'x,y,z'
'-y,x,z'
'-x,-y,z'
'y,-x,z'
'-x,y,z'
'y,x,z'
'x,-y,z'
'-y,-x,z'
loop_
_atom_site_label
_atom_site_type_symbol
_atom_site_fract_x
_atom_site_fract_y
_atom_site_fract_z
Sc1 Sc 0.0000 0.0000 0.0000
Sc2 Sc 0.5000 0.5000 0.4034
Tc1 Tc 0.0000 0.0000 0.4351
Cl1 Cl 0.5000 0.5000 0.9109
```

Computed properties:
DOS at the Fermi energy (states/eV per cell): 2.2
Energy relative to the elements, uncorrected (meV per atom): -370
V (Å³/cell): 79.50
Polymorph energy (0 for the lowest one) (meV per atom): 436

Entry 4:
ScTc2Cl | GGA-PBE | relaxed

```
data_ScTc2Cl
_chemical_formula_sum 'Sc2 Tc4 Cl2'
_space_group_name_H-M_alt 'C 1 2/m 1'
_space_group_IT_number 12
_cell_length_a 10.8174
_cell_length_b 3.1044
_cell_length_c 4.1587
_cell_angle_alpha 90.00
_cell_angle_beta 90.18
_cell_angle_gamma 90.00
loop_
_space_group_symop_operation_xyz
'x,y,z'
'-x,-y,-z'
'-x,y,-z'
'x,-y,z'
'x+1/2,y+1/2,z'
'-x+1/2,-y+1/2,-z'
'-x+1/2,y+1/2,-z'
'x+1/2,-y+1/2,z'
loop_
_atom_site_label
_atom_site_type_symbol
_atom_site_fract_x
_atom_site_fract_y
_atom_site_fract_z
Sc1 Sc 0.0000 0.0000 0.0000
Tc1 Tc 0.2144 0.5000 0.2022
Cl1 Cl 0.0000 0.5000 0.5000
```

Computed properties:
DOS at the Fermi energy (states/eV per cell): 7.9
Energy relative to the elements, uncorrected (meV per atom): -35
V (Å³/cell): 139.65
Polymorph energy (0 for the lowest one) (meV per atom): 320

Entry 5:
ScTc2Cl | GGA-PBE | relaxed

```
data_ScTc2Cl
_chemical_formula_sum 'Sc1 Tc2 Cl1'
_space_group_name_H-M_alt 'P 1 2/m 1'
_space_group_IT_number 10
_cell_length_a 3.0586
_cell_length_b 5.1788
_cell_length_c 4.2924
_cell_angle_alpha 90.00
_cell_angle_beta 92.46
_cell_angle_gamma 90.00
loop_
_space_group_symop_operation_xyz
'x,y,z'
'-x,-y,-z'
'-x,y,-z'
'x,-y,z'
loop_
_atom_site_label
_atom_site_type_symbol
_atom_site_fract_x
_atom_site_fract_y
_atom_site_fract_z
Sc1 Sc 0.0000 0.0000 0.0000
Tc1 Tc 0.3110 0.5000 0.2414
Cl1 Cl 0.5000 0.0000 0.5000
```

Computed properties:
DOS at the Fermi energy (states/eV per cell): 3.1
Energy relative to the elements, uncorrected (meV per atom): 74
V (Å³/cell): 67.93
Polymorph energy (0 for the lowest one) (meV per atom): 430

Entry 6:
ScTc2Cl | GGA-PBE | relaxed

```
data_ScTc2Cl
_chemical_formula_sum 'Sc2 Tc4 Cl2'
_space_group_name_H-M_alt 'I m m 2'
_space_group_IT_number 44
_cell_length_a 3.0547
_cell_length_b 4.6629
_cell_length_c 9.0177
_cell_angle_alpha 90.00
_cell_angle_beta 90.00
_cell_angle_gamma 90.00
loop_
_space_group_symop_operation_xyz
'x,y,z'
'-x,-y,z'
'-x,y,z'
'x,-y,z'
'x+1/2,y+1/2,z+1/2'
'-x+1/2,-y+1/2,z+1/2'
'-x+1/2,y+1/2,z+1/2'
'x+1/2,-y+1/2,z+1/2'
loop_
_atom_site_label
_atom_site_type_symbol
_atom_site_fract_x
_atom_site_fract_y
_atom_site_fract_z
Sc1 Sc 0.0000 0.0000 0.0000
Tc1 Tc 0.0000 0.0000 0.5221
Tc2 Tc 0.0000 0.5000 0.7851
Cl1 Cl 0.0000 0.5000 0.2469
```

Computed properties:
DOS at the Fermi energy (states/eV per cell): 5.7
Energy relative to the elements, uncorrected (meV per atom): 289
V (Å³/cell): 128.45
Polymorph energy (0 for the lowest one) (meV per atom): 645